Entry from the Alexandria database: an optimized crystal structure of TiInWO6 (GGA+U).

Summary:
* raw total energy: -7.4251 eV/atom
* total moment: 2.01 μB/cell

a b c (Å): 5.164 5.164 9.423
angles (deg): 90.00 90.00 120.00
Element x y z (fractional)
Ti1 0.333 0.667 0.250
Ti2 0.667 0.333 0.750
In1 0.000 0.000 0.000
In2 0.000 0.000 0.500
W1 0.333 0.667 0.750
W2 0.667 0.333 0.250
O1 0.001 0.355 0.135
O2 0.001 0.647 0.365
O3 0.353 0.355 0.365
O4 0.353 0.999 0.135
O5 0.355 0.001 0.635
O6 0.355 0.353 0.865
O7 0.645 0.647 0.135
O8 0.645 0.999 0.365
O9 0.647 0.001 0.865
O10 0.647 0.645 0.635
O11 0.999 0.353 0.635
O12 0.999 0.645 0.865